# 1
KSN4: relaxed, PBE.

Results
Formation energy without anion corrections ... 0.217 eV per atom
Symmetry ... No. 9

Cell: 6.653 6.653 28.578 Å, 49.13 146.47 103.27°
Fractional coordinates of all 12 atoms:
1 K 0.274 0.922 0.280
2 K 0.858 0.006 0.780
3 S 0.401 0.508 0.481
4 S 0.473 0.080 0.981
5 N 0.108 0.460 0.725
6 N 0.362 0.425 0.535
7 N 0.795 0.452 0.536
8 N 0.765 0.617 0.225
9 N 0.173 0.596 0.693
10 N 0.584 0.741 0.036
11 N 0.610 0.173 0.035
12 N 0.597 0.520 0.193


# 2
Tm12Hg5Ir2: relaxed, PBE.

Results
Formation energy from the elements ... -0.3159 eV/atom
Symmetry ... No. 12
Fermi-level density of states ... 22.914 states/eV/f.u.

Cell: 7.613 9.019 9.151 Å, 102.64 90.00 114.96°
Fractional coordinates of all 19 atoms:
1 Tm 0.976 0.952 0.171
2 Tm 0.091 0.664 0.896
3 Tm 0.573 0.664 0.896
4 Tm 0.101 0.709 0.433
5 Tm 0.608 0.709 0.433
6 Tm 0.496 0.992 0.751
7 Tm 0.504 0.008 0.249
8 Tm 0.899 0.291 0.567
9 Tm 0.392 0.291 0.567
10 Tm 0.909 0.336 0.104
11 Tm 0.427 0.336 0.104
12 Tm 0.024 0.048 0.829
13 Hg 0.295 0.590 0.631
14 Hg 0.312 0.624 0.161
15 Hg 0.000 0.000 0.500
16 Hg 0.688 0.376 0.839
17 Hg 0.705 0.410 0.369
18 Ir 0.713 0.000 0.000
19 Ir 0.287 0.000 0.000


# 3
LaDy5Ag6: relaxed, PBE.

Results
Formation energy from the elements ... -0.3052 eV/atom
Symmetry ... No. 65
Fermi-level density of states ... 6.288 states/eV/f.u.

Cell: 5.204 7.277 8.251 Å, 90.00 71.62 90.00°
Fractional coordinates of all 12 atoms:
1 Dy 0.665 0.500 0.670
2 Dy 0.331 0.000 0.337
3 Dy 0.000 0.500 0.000
4 Dy 0.669 0.000 0.663
5 Dy 0.335 0.500 0.330
6 Ag 0.829 0.744 0.343
7 Ag 0.829 0.256 0.343
8 Ag 0.500 0.263 0.000
9 Ag 0.500 0.737 0.000
10 Ag 0.171 0.744 0.657
11 Ag 0.171 0.256 0.657
12 La 0.000 0.000 0.000


# 4
MnFeIr2: relaxed, PBE.

Results
Formation energy from the elements ... -0.0219 eV/atom
Symmetry ... No. 25
Fermi-level density of states ... 5.847 states/eV/f.u.
Energy above the most stable polymorph in this dataset ... 168.1 meV/atom

Cell: 2.690 3.703 5.265 Å, 90.00 90.00 90.00°
Fractional coordinates of all 4 atoms:
1 Fe 0.500 0.500 0.752
2 Ir 0.000 0.000 0.983
3 Ir 0.500 0.500 0.264
4 Mn 0.000 0.000 0.501


# 5
ScIrRh2: relaxed, PBE.

Results
Formation energy from the elements ... -0.4750 eV/atom
Symmetry ... No. 8
Fermi-level density of states ... 2.632 states/eV/f.u.

Cell: 4.834 4.834 4.759 Å, 79.47 79.47 34.26°
Fractional coordinates of all 4 atoms:
1 Ir 0.252 0.252 0.228
2 Rh 0.998 0.998 0.015
3 Rh 0.750 0.750 0.747
4 Sc 0.500 0.500 0.510


# 6
Ac3PrPb12: relaxed, PBE.

Results
Formation energy from the elements ... -0.4071 eV/atom
Symmetry ... No. 123
Fermi-level density of states ... 7.384 states/eV/f.u.

Cell: 5.054 5.054 19.984 Å, 90.00 90.00 90.00°
Fractional coordinates of all 16 atoms:
1 Ac 0.000 0.000 0.246
2 Ac 0.000 0.000 0.500
3 Ac 0.000 0.000 0.754
4 Pr 0.000 0.000 0.000
5 Pb 0.500 0.500 0.000
6 Pb 0.500 0.500 0.247
7 Pb 0.500 0.500 0.500
8 Pb 0.500 0.500 0.753
9 Pb 0.500 0.000 0.120
10 Pb 0.500 0.000 0.373
11 Pb 0.500 0.000 0.627
12 Pb 0.500 0.000 0.880
13 Pb 0.000 0.500 0.120
14 Pb 0.000 0.500 0.373
15 Pb 0.000 0.500 0.627
16 Pb 0.000 0.500 0.880


# 7
Ac2CdPbO6: relaxed, PBE.

Results
Formation energy without anion corrections ... -2.183 eV per atom
Symmetry ... No. 14

Cell: 5.971 6.271 8.583 Å, 90.00 89.53 90.00°
Fractional coordinates of all 20 atoms:
1 Ac 0.017 0.940 0.251
2 Ac 0.517 0.560 0.751
3 Ac 0.983 0.060 0.749
4 Ac 0.483 0.440 0.249
5 Cd 0.500 0.000 0.000
6 Cd 0.000 0.500 0.500
7 Pb 0.500 0.000 0.500
8 Pb 0.000 0.500 0.000
9 O 0.299 0.688 0.058
10 O 0.799 0.812 0.558
11 O 0.701 0.312 0.942
12 O 0.201 0.188 0.442
13 O 0.313 0.706 0.434
14 O 0.813 0.794 0.934
15 O 0.687 0.294 0.566
16 O 0.187 0.206 0.066
17 O 0.882 0.552 0.243
18 O 0.382 0.948 0.743
19 O 0.118 0.448 0.757
20 O 0.618 0.052 0.257


Calculated size of the total moment in order - 12.0 0.0 0.0 3.8 0.0 0.0 0.0 Bohr magnetons per cell